! SmPd12Pt6 (PBE, optimized geometry); values from VASP
! Space group: Im-3 (204)
! Magnetic moment in μB per atom: 0.13
! VASP energy in eV per cell: -100.21
&SYSTEM
  ibrav = 0, nat = 19, ntyp = 3
/
ATOMIC_SPECIES
Sm 150.36 Sm.upf
Pd 106.42 Pd.upf
Pt 195.08 Pt.upf
CELL_PARAMETERS angstrom
-4.354 4.354 4.354
4.354 -4.354 4.354
4.354 4.354 -4.354
ATOMIC_POSITIONS crystal
Sm 0.000 0.000 0.000
Pd 0.087 0.265 0.822
Pd 0.178 0.443 0.265
Pd 0.178 0.913 0.735
Pd 0.265 0.178 0.443
Pd 0.265 0.822 0.087
Pd 0.443 0.265 0.178
Pd 0.557 0.735 0.822
Pd 0.735 0.178 0.913
Pd 0.735 0.822 0.557
Pd 0.822 0.087 0.265
Pd 0.822 0.557 0.735
Pd 0.913 0.735 0.178
Pt 0.145 0.500 0.645
Pt 0.355 0.855 0.500
Pt 0.500 0.355 0.855
Pt 0.500 0.645 0.145
Pt 0.645 0.145 0.500
Pt 0.855 0.500 0.355